The following is a PBE calculation of a geometry-optimized NiAg2H structure, from Alexandria via LeMat-Bulk.

- Total moment: 0.000 μB/f.u.
- DOS(E_F): 7.16 states/eV per cell
- E above lowest polymorph: 269.8 meV per atom
- V: 13.49 A^3/atom

a b c (Å): 5.998 5.998 5.998
angles (deg): 90.00 90.00 90.00
Space group Fm-3m (No. 225)
Inequivalent atoms, fractional coordinates:
Ni 0.000 0.000 0.000
Ag 0.250 0.250 0.250
H 0.000 0.000 0.500